[1]
DFT (PBE-GGA) results for an optimized crystal structure of ScAgBr2.

**Calculated volume**: 27.75 Å³ per atom
**Uncorrected formation energy**: -2.71 eV/f.u.
**E above lowest polymorph**: 193.1 meV/atom

Cell: 3.3276 4.8415 13.7807 Å, 90.00 90.00 90.00°
Space group Imm2 (No. 44)
Symmetry-distinct sites (fractional):
Sc: 0.0000 0.0000 0.0000 (multiplicity 2)
Ag: 0.0000 0.5000 0.6832 (multiplicity 2)
Br: 0.0000 0.0000 0.5342 (multiplicity 2)
Br: 0.0000 0.5000 0.3461 (multiplicity 2)

=====

[2]
DFT (PBE-GGA) results for an optimized crystal structure of ScAgSeBr2.

**Calculated volume**: 29.10 Å³ per atom
**Uncorrected formation energy**: -3.82 eV/f.u.
**E above lowest polymorph**: 0.0 meV/atom

Cell: 5.2599 5.2599 5.2584 Å, 90.00 90.00 90.00°
Space group P4/mmm (No. 123)
Symmetry-distinct sites (fractional):
Sc: 0.0000 0.0000 0.0000 (multiplicity 1)
Ag: 0.5000 0.5000 0.5000 (multiplicity 1)
Se: 0.0000 0.0000 0.5000 (multiplicity 1)
Br: 0.0000 0.5000 0.0000 (multiplicity 2)

=====

[3]
DFT (PBE-GGA) results for an optimized crystal structure of ScAgSeBr2.

**Calculated volume**: 28.13 Å³ per atom
**Uncorrected formation energy**: -0.42 eV/f.u.
**E above lowest polymorph**: 680.6 meV/atom

Cell: 5.1860 5.1860 5.2301 Å, 90.00 90.00 90.00°
Space group P4/mmm (No. 123)
Symmetry-distinct sites (fractional):
Sc: 0.0000 0.0000 0.0000 (multiplicity 1)
Ag: 0.5000 0.5000 0.5000 (multiplicity 1)
Se: 0.5000 0.5000 0.0000 (multiplicity 1)
Br: 0.0000 0.5000 0.5000 (multiplicity 2)

=====

[4]
DFT (PBE-GGA) results for an optimized crystal structure of Sr2ScAgBr.

**Calculated volume**: 37.45 Å³ per atom
**Uncorrected formation energy**: 0.33 eV/f.u.

Cell: 5.9105 5.9105 5.3598 Å, 90.00 90.00 90.00°
Space group P4/mmm (No. 123)
Symmetry-distinct sites (fractional):
Sr: 0.0000 0.5000 0.0000 (multiplicity 2)
Sc: 0.0000 0.0000 0.5000 (multiplicity 1)
Ag: 0.5000 0.5000 0.5000 (multiplicity 1)
Br: 0.5000 0.5000 0.0000 (multiplicity 1)

=====

[5]
DFT (PBE-GGA) results for an optimized crystal structure of SrScAgBr6.

**Calculated volume**: 32.08 Å³ per atom
**Uncorrected formation energy**: -13.49 eV/f.u.

Cell: 7.2831 7.2831 12.5688 Å, 90.00 90.00 120.00°
Space group P-31c (No. 163)
Symmetry-distinct sites (fractional):
Sr: 0.3333 0.6667 0.2500 (multiplicity 2)
Sc: 0.3333 0.6667 0.7500 (multiplicity 2)
Ag: 0.0000 0.0000 0.0000 (multiplicity 2)
Br: 0.0402 0.3620 0.6255 (multiplicity 12)

=====

[6]
DFT (PBE-GGA) results for an optimized crystal structure of Sc2TcAgBr.

**Calculated volume**: 27.50 Å³ per atom
**Uncorrected formation energy**: 5.87 eV/f.u.

Cell: 5.2289 5.2289 5.0290 Å, 90.00 90.00 90.00°
Space group P4/mmm (No. 123)
Symmetry-distinct sites (fractional):
Sc: 0.0000 0.5000 0.0000 (multiplicity 2)
Tc: 0.0000 0.0000 0.5000 (multiplicity 1)
Ag: 0.5000 0.5000 0.0000 (multiplicity 1)
Br: 0.5000 0.5000 0.5000 (multiplicity 1)

=====

[7]
DFT (PBE-GGA) results for an optimized crystal structure of ScTl3Ag3Br8.

**Calculated volume**: 32.77 Å³ per atom
**Uncorrected formation energy**: -11.29 eV/f.u.

Cell: 14.5015 8.3358 9.4704 Å, 90.00 120.81 90.00°
Space group C2/m (No. 12)
Symmetry-distinct sites (fractional):
Sc: 0.0000 0.0000 0.0000 (multiplicity 2)
Tl: 0.0000 0.0000 0.5000 (multiplicity 2)
Tl: 0.2500 0.2500 0.5000 (multiplicity 4)
Ag: 0.0000 0.5000 0.0000 (multiplicity 2)
Ag: 0.2500 0.2500 0.0000 (multiplicity 4)
Br: 0.0100 0.2282 0.8035 (multiplicity 8)
Br: 0.2171 0.0000 0.1961 (multiplicity 4)
Br: 0.2240 0.5000 0.1697 (multiplicity 4)

=====

[8]
DFT (PBE-GGA) results for an optimized crystal structure of ScTl2AgBr6.

**Calculated volume**: 31.77 Å³ per atom
**Uncorrected formation energy**: -10.92 eV/f.u.

Cell: 7.5327 7.8636 13.0470 Å, 90.00 124.70 90.00°
Space group P2_1/c (No. 14)
Symmetry-distinct sites (fractional):
Sc: 0.0000 0.0000 0.0000 (multiplicity 2)
Tl: 0.2743 0.0740 0.7514 (multiplicity 4)
Ag: 0.5000 0.0000 0.5000 (multiplicity 2)
Br: 0.1539 0.0131 0.2421 (multiplicity 4)
Br: 0.2284 0.7155 0.0416 (multiplicity 4)
Br: 0.3306 0.1894 0.0424 (multiplicity 4)

=====

[9]
DFT (PBE-GGA) results for an optimized crystal structure of YScAg2Br.

**Calculated volume**: 32.09 Å³ per atom
**Uncorrected formation energy**: 1.76 eV/f.u.

Cell: 5.5235 5.5235 5.2586 Å, 90.00 90.00 90.00°
Space group P4/mmm (No. 123)
Symmetry-distinct sites (fractional):
Y: 0.0000 0.0000 0.0000 (multiplicity 1)
Sc: 0.5000 0.5000 0.5000 (multiplicity 1)
Ag: 0.0000 0.5000 0.0000 (multiplicity 2)
Br: 0.0000 0.0000 0.5000 (multiplicity 1)

=====

[10]
DFT (PBE-GGA) results for an optimized crystal structure of Zr2ScAgBr.

**Calculated volume**: 24.38 Å³ per atom
**Uncorrected formation energy**: 1.58 eV/f.u.

Cell: 4.9864 4.9864 4.9024 Å, 90.00 90.00 90.00°
Space group P4/mmm (No. 123)
Symmetry-distinct sites (fractional):
Zr: 0.0000 0.5000 0.0000 (multiplicity 2)
Sc: 0.0000 0.0000 0.5000 (multiplicity 1)
Ag: 0.5000 0.5000 0.5000 (multiplicity 1)
Br: 0.0000 0.0000 0.0000 (multiplicity 1)

=====

[11]
DFT (PBE-GGA) results for an optimized crystal structure of AgSe2Br.

**Calculated volume**: 36.14 Å³ per atom
**Uncorrected formation energy**: -0.50 eV/f.u.
**E above lowest polymorph**: 0.0 meV/atom

Cell: 8.9840 12.2238 5.2661 Å, 90.00 90.00 90.00°
Space group C222_1 (No. 20)
Symmetry-distinct sites (fractional):
Ag: 0.1786 0.0000 0.0000 (multiplicity 4)
Se: 0.1176 0.4200 0.8274 (multiplicity 8)
Br: 0.0000 0.1393 0.2500 (multiplicity 4)

=====

[12]
DFT (PBE-GGA) results for an optimized crystal structure of AgSe2Br.

**Calculated volume**: 29.14 Å³ per atom
**Uncorrected formation energy**: -0.19 eV/f.u.
**E above lowest polymorph**: 78.5 meV/atom

Cell: 3.7034 3.7034 8.4991 Å, 90.00 90.00 90.00°
Space group P4mm (No. 99)
Symmetry-distinct sites (fractional):
Ag: 0.0000 0.0000 0.0000 (multiplicity 1)
Se: 0.0000 0.0000 0.6835 (multiplicity 1)
Se: 0.5000 0.5000 0.6066 (multiplicity 1)
Br: 0.5000 0.5000 0.1134 (multiplicity 1)

=====

What is the formula in the eleventh record? AgSe2Br

=====

What is the calculated volume in the fifth record? 32.08 Å³ per atom

=====

Which value of uncorrected formation energy does entry 8 give? -10.92 eV/f.u.

=====

Number 1 is which compound? ScAgBr2